1.
# Sc6Zn3Ag (PBE, optimized geometry)
data_Sc6Zn3Ag
_chemical_formula_sum 'Sc12 Zn6 Ag2'
_space_group_name_H-M_alt 'P 1 21/m 1'
_space_group_IT_number 11
_space_group_name_Hall '-P 2yb'
_cell_length_a 8.4702
_cell_length_b 4.7783
_cell_length_c 10.5098
_cell_angle_alpha 90.00
_cell_angle_beta 107.91
_cell_angle_gamma 90.00
loop_
_atom_site_label
_atom_site_fract_x
_atom_site_fract_y
_atom_site_fract_z
_atom_site_occupancy
Sc1 0.0345 0.2500 0.4069 1
Sc2 0.1496 0.7500 0.1787 1
Sc3 0.2435 0.2500 0.0028 1
Sc4 0.3362 0.7500 0.8086 1
Sc5 0.3707 0.2500 0.3359 1
Sc6 0.3898 0.2500 0.6196 1
Zn1 0.0313 0.7500 0.8808 1
Zn2 0.1194 0.2500 0.7180 1
Zn3 0.2735 0.7500 0.4751 1
Ag1 0.4486 0.7500 0.1061 1
# magnetization: 0.0 μB per formula unit
# density of states at the Fermi level: 1.066 states/eV per atom
# E_form: -0.2323 eV per atom

---

2.
# ZrPb2W (PBE, optimized geometry)
data_ZrPb2W
_chemical_formula_sum 'Zr1 Pb2 W1'
_space_group_name_H-M_alt 'P 4 m m'
_space_group_IT_number 99
_space_group_name_Hall 'P 4 -2'
_cell_length_a 3.0643
_cell_length_b 3.0643
_cell_length_c 10.8078
_cell_angle_alpha 90.00
_cell_angle_beta 90.00
_cell_angle_gamma 90.00
loop_
_atom_site_label
_atom_site_fract_x
_atom_site_fract_y
_atom_site_fract_z
_atom_site_occupancy
Zr1 0.0000 0.0000 0.0000 1
Pb1 0.0000 0.0000 0.5884 1
Pb2 0.5000 0.5000 0.2416 1
W1 0.5000 0.5000 0.8060 1
# magnetization: 0.0 μB per formula unit
# density of states at the Fermi level: 0.942 states/eV per atom
# energy relative to the lowest polymorph listed for this composition: 37 kJ/mol of formula units
# E_form: 0.4445 eV per atom

---

3.
# ThAlZn2Pt4 (PBE, optimized geometry)
data_ThAlZn2Pt4
_chemical_formula_sum 'Th3 Al3 Zn6 Pt12'
_space_group_name_H-M_alt 'R -3 m'
_space_group_IT_number 166
_space_group_name_Hall '-R 3 2"'
_cell_length_a 4.3229
_cell_length_b 4.3229
_cell_length_c 25.9544
_cell_angle_alpha 90.00
_cell_angle_beta 90.00
_cell_angle_gamma 120.00
loop_
_atom_site_label
_atom_site_fract_x
_atom_site_fract_y
_atom_site_fract_z
_atom_site_occupancy
Th1 0.0000 0.0000 0.0000 1
Al1 0.0000 0.0000 0.5000 1
Zn1 0.0000 0.0000 0.2409 1
Pt1 0.0000 0.0000 0.1344 1
Pt2 0.0000 0.0000 0.4007 1
# magnetization: 0.0 μB per formula unit
# density of states at the Fermi level: 0.376 states/eV per atom
# E_form: -0.8912 eV per atom

---

4.
# Sr6Sn2NCl (PBE, optimized geometry)
data_Sr6Sn2NCl
_chemical_formula_sum 'Sr24 Sn8 N4 Cl4'
_space_group_name_H-M_alt 'F m -3 m'
_space_group_IT_number 225
_space_group_name_Hall '-F 4 2 3'
_cell_length_a 10.8801
_cell_length_b 10.8801
_cell_length_c 10.8801
_cell_angle_alpha 90.00
_cell_angle_beta 90.00
_cell_angle_gamma 90.00
loop_
_atom_site_label
_atom_site_fract_x
_atom_site_fract_y
_atom_site_fract_z
_atom_site_occupancy
Sr1 0.0000 0.0000 0.2330 1
Sn1 0.2500 0.2500 0.2500 1
N1 0.0000 0.0000 0.0000 1
Cl1 0.0000 0.0000 0.5000 1
# magnetization: 0.0 μB per formula unit
# density of states at the Fermi level: 0.024 states/eV per atom
# uncorrected formation energy: -9.15 eV/f.u.

---

5.
# Rb3Ac2HoO6 (PBE, optimized geometry)
data_Rb3Ac2HoO6
_chemical_formula_sum 'Rb6 Ac4 Ho2 O12'
_space_group_name_H-M_alt 'C 1 2/m 1'
_space_group_IT_number 12
_space_group_name_Hall '-C 2y'
_cell_length_a 6.5021
_cell_length_b 11.2729
_cell_length_c 6.9675
_cell_angle_alpha 90.00
_cell_angle_beta 108.01
_cell_angle_gamma 90.00
loop_
_atom_site_label
_atom_site_fract_x
_atom_site_fract_y
_atom_site_fract_z
_atom_site_occupancy
Rb1 0.0000 0.0000 0.0000 1
Rb2 0.0000 0.3387 0.0000 1
Ac1 0.0000 0.1669 0.5000 1
Ho1 0.0000 0.5000 0.5000 1
O1 0.2154 0.3449 0.6811 1
O2 0.2494 0.0000 0.6809 1
# magnetization: 0.0 μB per formula unit
# density of states at the Fermi level: 0.000 states/eV per atom
# uncorrected formation energy: -30.84 eV/f.u.

---

6.
# ZrBr3Cl (PBE, optimized geometry)
data_ZrBr3Cl
_chemical_formula_sum 'Zr4 Br12 Cl4'
_space_group_name_H-M_alt 'I m a 2'
_space_group_IT_number 46
_space_group_name_Hall 'I 2 -2a'
_cell_length_a 9.3645
_cell_length_b 10.1321
_cell_length_c 7.7952
_cell_angle_alpha 90.00
_cell_angle_beta 90.00
_cell_angle_gamma 90.00
loop_
_atom_site_label
_atom_site_fract_x
_atom_site_fract_y
_atom_site_fract_z
_atom_site_occupancy
Zr1 0.2500 0.2495 0.0000 1
Br1 0.0218 0.7481 0.9996 1
Br2 0.2500 0.0608 0.7508 1
Cl1 0.2500 0.0835 0.2492 1
# magnetization: 0.0 μB per formula unit
# energy relative to the lowest polymorph listed for this composition: 0 kJ/mol of formula units
# uncorrected formation energy: -7.01 eV/f.u.

---

7.
# YBe2Si (PBE, optimized geometry)
data_YBe2Si
_chemical_formula_sum 'Y2 Be4 Si2'
_space_group_name_H-M_alt 'I m m 2'
_space_group_IT_number 44
_space_group_name_Hall 'I 2 -2'
_cell_length_a 3.6717
_cell_length_b 3.6993
_cell_length_c 9.5999
_cell_angle_alpha 90.00
_cell_angle_beta 90.00
_cell_angle_gamma 90.00
loop_
_atom_site_label
_atom_site_fract_x
_atom_site_fract_y
_atom_site_fract_z
_atom_site_occupancy
Y1 0.0000 0.0000 0.0000 1
Be1 0.0000 0.0000 0.6385 1
Be2 0.0000 0.5000 0.7396 1
Si1 0.0000 0.5000 0.2610 1
# magnetization: 0.4 μB per formula unit
# density of states at the Fermi level: 0.478 states/eV per atom
# uncorrected formation energy: -0.30 eV/f.u.

---

8.
# LiTbPmSe3 (PBE, optimized geometry)
data_LiTbPmSe3
_chemical_formula_sum 'Li2 Tb2 Pm2 Se6'
_space_group_name_H-M_alt 'P 1 21/m 1'
_space_group_IT_number 11
_space_group_name_Hall '-P 2yb'
_cell_length_a 8.4593
_cell_length_b 4.0121
_cell_length_c 8.8362
_cell_angle_alpha 90.00
_cell_angle_beta 102.77
_cell_angle_gamma 90.00
loop_
_atom_site_label
_atom_site_fract_x
_atom_site_fract_y
_atom_site_fract_z
_atom_site_occupancy
Li1 0.0862 0.2500 0.0843 1
Tb1 0.3352 0.7500 0.3366 1
Pm1 0.1876 0.2500 0.7245 1
Se1 0.0937 0.2500 0.3702 1
Se2 0.2210 0.7500 0.9974 1
Se3 0.4282 0.7500 0.6746 1
# magnetization: 0.0 μB per formula unit
# density of states at the Fermi level: 0.339 states/eV per atom
# uncorrected formation energy: -10.02 eV/f.u.

---

9.
# CaPmDyTh (PBE, optimized geometry)
data_CaPmDyTh
_chemical_formula_sum 'Ca4 Pm4 Dy4 Th4'
_space_group_name_H-M_alt 'F -4 3 m'
_space_group_IT_number 216
_space_group_name_Hall 'F -4 2 3'
_cell_length_a 8.1735
_cell_length_b 8.1735
_cell_length_c 8.1735
_cell_angle_alpha 90.00
_cell_angle_beta 90.00
_cell_angle_gamma 90.00
loop_
_atom_site_label
_atom_site_fract_x
_atom_site_fract_y
_atom_site_fract_z
_atom_site_occupancy
Ca1 0.0000 0.0000 0.0000 1
Pm1 0.2500 0.2500 0.2500 1
Dy1 0.2500 0.2500 0.7500 1
Th1 0.0000 0.0000 0.5000 1
# magnetization: 0.7 μB per formula unit
# density of states at the Fermi level: 2.021 states/eV per atom
# E_form: 0.2278 eV per atom

---

10.
# Pr3SmCu2 (PBE, optimized geometry)
data_Pr3SmCu2
_chemical_formula_sum 'Pr6 Sm2 Cu4'
_space_group_name_H-M_alt 'P m c 21'
_space_group_IT_number 26
_space_group_name_Hall 'P 2c -2'
_cell_length_a 5.0613
_cell_length_b 9.1074
_cell_length_c 7.1142
_cell_angle_alpha 90.00
_cell_angle_beta 90.00
_cell_angle_gamma 90.00
loop_
_atom_site_label
_atom_site_fract_x
_atom_site_fract_y
_atom_site_fract_z
_atom_site_occupancy
Pr1 0.0000 0.0780 0.0000 1
Pr2 0.0000 0.3417 0.3640 1
Pr3 0.5000 0.1622 0.6486 1
Sm1 0.5000 0.4229 0.0150 1
Cu1 0.0000 0.3484 0.7726 1
Cu2 0.5000 0.1548 0.2410 1
# magnetization: 0.0 μB per formula unit
# density of states at the Fermi level: 0.982 states/eV per atom
# energy relative to the lowest polymorph listed for this composition: 0 kJ/mol of formula units
# E_form: -0.0907 eV per atom

---

11.
# CaCrIN2 (PBE, optimized geometry)
data_CaCrIN2
_chemical_formula_sum 'Ca1 Cr1 I1 N2'
_space_group_name_H-M_alt 'P 4/m m m'
_space_group_IT_number 123
_space_group_name_Hall '-P 4 2'
_cell_length_a 4.4795
_cell_length_b 4.4795
_cell_length_c 6.0849
_cell_angle_alpha 90.00
_cell_angle_beta 90.00
_cell_angle_gamma 90.00
loop_
_atom_site_label
_atom_site_fract_x
_atom_site_fract_y
_atom_site_fract_z
_atom_site_occupancy
Ca1 0.0000 0.0000 0.0000 1
Cr1 0.5000 0.5000 0.5000 1
I1 0.0000 0.0000 0.5000 1
N1 0.0000 0.5000 0.0000 1
# magnetization: 3.3 μB per formula unit
# density of states at the Fermi level: 2.417 states/eV per atom
# energy relative to the lowest polymorph listed for this composition: 820 kJ/mol of formula units
# uncorrected formation energy: 9.57 eV/f.u.

---

12.
# Sr3Sn5Au2 (PBE, optimized geometry)
data_Sr3Sn5Au2
_chemical_formula_sum 'Sr12 Sn20 Au8'
_space_group_name_H-M_alt 'I b a m'
_space_group_IT_number 72
_space_group_name_Hall '-I 2 2c'
_cell_length_a 11.0373
_cell_length_b 15.2223
_cell_length_c 7.4114
_cell_angle_alpha 90.00
_cell_angle_beta 90.00
_cell_angle_gamma 90.00
loop_
_atom_site_label
_atom_site_fract_x
_atom_site_fract_y
_atom_site_fract_z
_atom_site_occupancy
Sr1 0.0000 0.0000 0.2500 1
Sr2 0.2224 0.3523 0.0000 1
Sn1 0.0000 0.2302 0.2500 1
Sn2 0.0000 0.5000 0.2500 1
Sn3 0.1210 0.3722 0.5000 1
Au1 0.1361 0.1365 0.0000 1
# magnetization: 0.0 μB per formula unit
# density of states at the Fermi level: 0.371 states/eV per atom
# E_form: -0.4343 eV per atom